No. 1
Crystalline Ce2HoPd at its relaxed geometry. Source: the Alexandria database, functional PBE-GGA.

Values from the calculation:
The value obtained for the electronic total energy is -5.64 eV per atom. The calculation puts the energy relative to the lowest polymorph listed for this composition at 0.000 eV per formula unit. For the spin magnetization, the calculation gives 1.464 μB per formula unit. The energy relative to the elements is -0.2318 eV/atom.

Unit cell a=3.717 b=3.717 c=7.750 alpha=90.00 beta=90.00 gamma=90.00
Space group P4/mmm (No. 123)
Inequivalent atoms, fractional coordinates:
Ce 0.000 0.000 0.200 x2
Ho 0.500 0.500 0.500 x1
Pd 0.500 0.500 0.000 x1

---

No. 2
Crystalline CeHoPd at its relaxed geometry. Source: the Alexandria database, functional PBE-GGA.

Values from the calculation:
The value obtained for the electronic total energy is -5.52 eV per atom. The calculation puts the energy relative to the lowest polymorph listed for this composition at 0.458 eV per formula unit. For the spin magnetization, the calculation gives 0.778 μB per formula unit. The energy relative to the elements is -0.2899 eV/atom.

Unit cell a=4.8051 b=4.8051 c=3.6961 alpha=90.00 beta=90.00 gamma=120.00
Space group P3m1 (No. 156)
Inequivalent atoms, fractional coordinates:
Ce 0.0000 0.0000 0.0000 x1
Ho 0.6667 0.3333 0.5709 x1
Pd 0.3333 0.6667 0.3237 x1

---

No. 3
Crystalline CeHoPd4 at its relaxed geometry. Source: the Alexandria database, functional PBE-GGA.

Values from the calculation:
The value obtained for the electronic total energy is -5.96 eV per atom. The calculation puts the energy relative to the lowest polymorph listed for this composition at 0.498 eV per formula unit. For the spin magnetization, the calculation gives 1.013 μB per formula unit. The energy relative to the elements is -0.7462 eV/atom.

Unit cell a=7.731 b=7.731 c=7.731 alpha=90.00 beta=90.00 gamma=90.00
Space group F-43m (No. 216)
Inequivalent atoms, fractional coordinates:
Ce 0.000 0.000 0.000 x4
Ho 0.250 0.250 0.750 x4
Pd 0.125 0.125 0.375 x16

---

No. 4
Crystalline CeHoPd at its relaxed geometry. Source: the Alexandria database, functional PBE-GGA.

Values from the calculation:
The value obtained for the electronic total energy is -5.68 eV per atom. The calculation puts the energy relative to the lowest polymorph listed for this composition at 0.004 eV per formula unit. For the spin magnetization, the calculation gives 1.547 μB per formula unit. The energy relative to the elements is -0.4410 eV/atom.

Unit cell a=3.531 b=3.531 c=12.295 alpha=90.00 beta=90.00 gamma=90.00
Space group I4mm (No. 107)
Inequivalent atoms, fractional coordinates:
Ce 0.000 0.000 0.000 x2
Ho 0.000 0.000 0.282 x2
Pd 0.000 0.000 0.651 x2

---

Question: The highest energy relative to the elements belongs to which entry?
Answer: Ce2HoPd